[1]
DFT (meta-GGA SCAN) results for TaPRh at its PBEsol-relaxed geometry.

a = 2.8542 Å, b = 2.8542 Å, c = 6.1501 Å
α = 90.00°, β = 90.00°, γ = 120.00°
Element x y z (fractional)
P 0.0000 0.0000 0.9829
Rh 0.3333 0.6667 0.6927
Ta 0.6667 0.3333 0.3244

Computed properties:
Fermi-level density of states in states/eV/f.u.: 2.74
Space-group type: P3m1, No. 156
Energy of formation from the pure elements in meV/atom: -212

=====

[2]
DFT (meta-GGA SCAN) results for GaFe2Co at its PBEsol-relaxed geometry.

a = 3.9815 Å, b = 3.9815 Å, c = 3.9815 Å
α = 60.00°, β = 60.00°, γ = 60.00°
Element x y z (fractional)
Co 0.2500 0.2500 0.2500
Fe 0.5000 0.5000 0.5000
Fe 0.7500 0.7500 0.7500
Ga 0.0000 0.0000 0.0000

Computed properties:
Fermi-level density of states in states/eV/f.u.: 3.00
Space-group type: F-43m, No. 216
Energy of formation from the pure elements in meV/atom: -171

=====

Copy entry 1 word for word.
DFT (meta-GGA SCAN) results for TaPRh at its PBEsol-relaxed geometry.

a = 2.8542 Å, b = 2.8542 Å, c = 6.1501 Å
α = 90.00°, β = 90.00°, γ = 120.00°
Element x y z (fractional)
P 0.0000 0.0000 0.9829
Rh 0.3333 0.6667 0.6927
Ta 0.6667 0.3333 0.3244

Computed properties:
Fermi-level density of states in states/eV/f.u.: 2.74
Space-group type: P3m1, No. 156
Energy of formation from the pure elements in meV/atom: -212

=====

- Number 2 is which compound?
  GaFe2Co